Entry 1:
The following is a GGA-PBE calculation of Ho2GaHRh6 after structural relaxation, from Alexandria via LeMat-Bulk.

Structure (extended XYZ):
```
10
Lattice="4.2895 -4.2991 0.0000 4.2895 4.2991 0.0000 -4.2596 0.0000 4.3008" Properties=species:S:1:pos:R:3 pbc="T T T"
Ho 4.2895 2.1606 0.0000
Ho 4.2895 -2.1606 0.0000
Ga -2.1298 0.0000 2.1504
H 2.1597 0.0000 2.1504
Rh 2.1597 1.9411 2.1504
Rh 2.1566 0.0000 0.2083
Rh 0.2255 0.0000 2.1604
Rh 4.0939 0.0000 2.1404
Rh 2.1628 0.0000 4.0925
Rh 2.1597 -1.9411 2.1504
```

Summary:
Uncorrected energy   -6.4837 eV/atom
Symmetry   C2/m, No. 12

Entry 2:
The following is a GGA-PBE calculation of MgHPd2 after structural relaxation, from Alexandria via LeMat-Bulk.

Structure (extended XYZ):
```
8
Lattice="3.1059 0.0000 0.0000 0.0000 3.1059 0.0000 0.0000 0.0000 10.5591" Properties=species:S:1:pos:R:3 pbc="T T T"
Mg 0.0000 0.0000 0.0000
Mg 1.5529 1.5529 5.2795
H 0.0000 1.5529 7.9193
H 1.5529 0.0000 2.6398
Pd 0.0000 0.0000 3.6710
Pd 0.0000 0.0000 6.8881
Pd 1.5529 1.5529 1.6086
Pd 1.5529 1.5529 8.9505
```

Summary:
Distance to the lowest polymorph of the same formula   0.000 eV/atom
Symmetry   I-4m2, No. 119

Entry 3:
The following is a GGA-PBE calculation of TiIn2Ge after structural relaxation, from Alexandria via LeMat-Bulk.

Structure (extended XYZ):
```
16
Lattice="7.0842 0.0000 0.0000 0.0000 7.0842 0.0000 0.0000 0.0000 7.0842" Properties=species:S:1:pos:R:3 pbc="T T T"
Ti 0.0000 0.0000 0.0000
Ti 0.0000 3.5421 3.5421
Ti 3.5421 0.0000 3.5421
Ti 3.5421 3.5421 0.0000
In 1.7711 1.7711 1.7711
In 1.7711 1.7711 5.3132
In 1.7711 5.3132 1.7711
In 1.7711 5.3132 5.3132
In 5.3132 1.7711 1.7711
In 5.3132 1.7711 5.3132
In 5.3132 5.3132 1.7711
In 5.3132 5.3132 5.3132
Ge 0.0000 0.0000 3.5421
Ge 0.0000 3.5421 0.0000
Ge 3.5421 0.0000 0.0000
Ge 3.5421 3.5421 3.5421
```

Summary:
Distance to the lowest polymorph of the same formula   0.089 eV/atom
Energy of formation   0.311 eV per atom
Symmetry   Fm-3m, No. 225

Record order is preserved below.
Size of the total moment: 0.0; 0.0; 1.9 μB per formula unit